Density functional theory data (PBE) for a relaxed Ce2Ga3Au17 crystal.

abc: 7.784 7.784 7.784
angles: 83.32 83.32 83.32
Site moments in Bohr magnetons follow the coordinates.
Fractional coordinates of all 22 atoms:
1 Ce 0.390 0.390 0.390  0.97
2 Ce 0.610 0.610 0.610  0.97
3 Ga 0.000 0.500 0.500  0.04
4 Ga 0.500 0.500 0.000  0.04
5 Ga 0.500 0.000 0.500  0.04
6 Au 0.500 0.000 0.000  0.00
7 Au 0.000 0.000 0.500  0.00
8 Au 0.000 0.500 0.000  0.00
9 Au 0.000 0.739 0.261  0.00
10 Au 0.739 0.261 0.000  0.00
11 Au 0.261 0.000 0.739  0.00
12 Au 0.261 0.739 0.000  0.00
13 Au 0.739 0.000 0.261  0.00
14 Au 0.000 0.261 0.739  0.00
15 Au 0.185 0.666 0.666  0.01
16 Au 0.666 0.666 0.185  0.01
17 Au 0.666 0.185 0.666  0.01
18 Au 0.815 0.334 0.334  0.01
19 Au 0.334 0.334 0.815  0.01
20 Au 0.334 0.815 0.334  0.01
21 Au 0.188 0.188 0.188  -0.01
22 Au 0.812 0.812 0.812  -0.01

## Properties
ΔE_f: -0.057 eV/atom
Crystal system: trigonal
Spin magnetization: 2.6 μB per formula unit